(1)
Material: Pr2SmMg
Method: DFT, PBE-GGA
State: relaxed

Geometry as POSCAR:
```
Pr2SmMg
1.0
-1.826 2.468 1.779
-0.645 -0.423 3.463
9.990 6.702 4.495
Pr Mg Sm
2 1 1
Cartesian
7.113 5.100 3.764 Pr
0.406 3.646 5.973 Pr
0.000 0.000 0.000 Mg
3.760 4.373 4.869 Sm
```

* space-group type: R-3m (166)



(2)
Material: Pr2SmMg
Method: DFT, PBE-GGA
State: relaxed

Geometry as POSCAR:
```
Pr2SmMg
1.0
3.621 0.000 0.000
1.811 3.136 0.000
1.811 1.045 11.642
Pr Sm Mg
2 1 1
Cartesian
1.811 1.045 8.653 Pr
1.811 1.045 2.998 Pr
5.432 3.136 11.627 Sm
3.621 2.091 5.826 Mg
```

* space-group type: R3m (160)



(3)
Material: Pr2SmMg
Method: DFT, PBE-GGA
State: relaxed

Geometry as POSCAR:
```
Pr2SmMg
1.0
-1.943 1.358 2.936
1.337 -2.782 2.171
7.152 5.241 2.309
Pr Mg Sm
2 1 1
Cartesian
5.525 4.048 1.784 Pr
1.627 1.192 0.525 Pr
-0.303 -0.712 2.554 Mg
3.273 1.908 3.708 Sm
```

* space-group type: P4/mmm (123)



Computed energies relative to the best structure, in meV/atom: (1) 229; (2) 77; (3) 0



(1)
Material: Pr2Sm4Mg
Method: DFT, PBE-GGA
State: relaxed

Geometry as POSCAR:
```
Pr2Sm4Mg
1.0
-0.304 4.811 3.769
-4.417 2.923 -4.088
-8.363 -7.382 3.758
Pr Sm Mg
4 8 2
Cartesian
-3.548 5.014 -0.794 Pr
-9.536 -4.662 4.233 Pr
-4.758 -1.062 1.644 Pr
-8.327 1.414 1.796 Pr
-4.783 2.458 1.449 Sm
-10.654 -4.204 0.292 Sm
-2.431 4.556 3.147 Sm
-6.990 3.918 -0.594 Sm
-6.031 0.718 4.293 Sm
-6.094 -3.566 4.034 Sm
-8.302 -2.105 1.991 Sm
-7.053 -0.365 -0.853 Sm
-4.765 1.669 -1.871 Mg
-8.320 -1.317 5.311 Mg
```

* space-group type: P2_1/m (11)



(2)
Material: Pr2Sm4Mg
Method: DFT, PBE-GGA
State: relaxed

Geometry as POSCAR:
```
Pr2Sm4Mg
1.0
-2.494 -1.503 -3.764
0.310 -4.477 1.582
-9.771 1.412 5.911
Pr Sm Mg
2 4 1
Cartesian
-6.133 -0.045 1.074 Pr
-4.730 -1.533 3.746 Pr
-9.263 -1.185 2.142 Sm
-2.843 -1.208 0.819 Sm
-7.901 -2.630 4.738 Sm
-3.904 -4.113 -0.241 Sm
0.000 0.000 0.000 Mg
```

* space-group type: P-42m (111)



Computed energies relative to the best structure, in meV/atom: (1) 0; (2) 448



(1)
Material: PrSm2Mg4
Method: DFT, PBE-GGA
State: relaxed

Geometry as POSCAR:
```
PrSm2Mg4
1.0
5.603 0.000 0.000
0.000 6.070 0.000
0.000 -3.035 6.539
Pr Sm Mg
1 2 4
Cartesian
0.000 3.035 0.000 Pr
2.801 0.000 1.776 Sm
2.801 3.035 4.764 Sm
2.801 3.035 1.538 Mg
0.000 3.035 3.230 Mg
2.801 0.000 5.001 Mg
0.000 0.000 3.310 Mg
```

* space-group type: Cmmm (65)



(2)
Material: PrSm2Mg4
Method: DFT, PBE-GGA
State: relaxed

Geometry as POSCAR:
```
PrSm2Mg4
1.0
5.178 0.000 -1.651
-0.526 5.152 -1.651
-0.175 -0.194 8.398
Pr Sm Mg
1 2 4
Cartesian
0.000 0.000 0.000 Pr
3.389 3.753 1.684 Sm
1.088 1.205 3.413 Sm
1.377 4.392 4.319 Mg
4.229 1.816 4.319 Mg
3.100 0.566 0.778 Mg
0.248 3.142 0.778 Mg
```

* space-group type: I4/mmm (139)



Computed energies relative to the best structure, in meV/atom: (1) 212; (2) 0



(1)
Material: Pr4Sm5Mg
Method: DFT, PBE-GGA
State: relaxed

Geometry as POSCAR:
```
Pr4Sm5Mg
1.0
5.952 0.000 0.000
2.976 7.660 0.000
2.976 0.000 7.660
Pr Sm Mg
4 5 1
Cartesian
5.746 2.429 5.231 Pr
8.722 5.231 5.231 Pr
2.770 2.429 2.429 Pr
5.746 5.231 2.429 Pr
8.640 2.835 7.659 Sm
5.664 7.659 4.824 Sm
5.664 0.000 2.835 Sm
2.687 4.824 0.000 Sm
3.929 0.000 0.000 Sm
1.088 0.000 0.000 Mg
```

* space-group type: I4mm (107)



(2)
Material: Pr4Sm5Mg
Method: DFT, PBE-GGA
State: relaxed

Geometry as POSCAR:
```
Pr4Sm5Mg
1.0
-2.761 2.410 -0.491
-2.444 -2.606 0.953
1.839 6.923 23.647
Pr Sm Mg
4 5 1
Cartesian
0.345 1.298 4.432 Pr
0.728 2.741 9.363 Pr
1.111 4.182 14.283 Pr
1.495 5.625 19.215 Pr
-2.446 0.491 2.243 Sm
-2.066 1.922 7.129 Sm
-1.683 3.364 12.054 Sm
-1.300 4.806 16.980 Sm
-0.920 6.236 21.866 Sm
0.000 0.000 0.000 Mg
```

* space-group type: P4/mmm (123)



Computed energies relative to the best structure, in meV/atom: (1) 168; (2) 0



(1)
Material: Pr4Sm3Mg
Method: DFT, PBE-GGA
State: relaxed

Geometry as POSCAR:
```
Pr4Sm3Mg
1.0
3.699 0.000 0.000
0.000 3.699 0.000
0.000 0.000 19.837
Pr Mg Sm
4 1 3
Cartesian
0.000 0.000 17.637 Pr
0.000 0.000 2.200 Pr
0.000 0.000 7.346 Pr
0.000 0.000 12.491 Pr
1.850 1.850 0.000 Mg
1.850 1.850 4.749 Sm
1.850 1.850 9.918 Sm
1.850 1.850 15.087 Sm
```

* space-group type: P4/mmm (123)



(2)
Material: Pr4Sm3Mg
Method: DFT, PBE-GGA
State: relaxed

Geometry as POSCAR:
```
Pr4Sm3Mg
1.0
3.686 0.000 0.000
0.000 5.413 -0.141
-1.843 -0.196 14.148
Pr Sm Mg
4 3 1
Cartesian
0.000 1.395 11.377 Pr
1.843 3.821 2.630 Pr
1.843 3.963 6.047 Pr
0.000 1.254 7.960 Pr
0.000 2.706 -0.070 Sm
0.000 1.160 4.241 Sm
1.843 4.056 9.766 Sm
1.843 0.000 0.000 Mg
```

* space-group type: C2/m (12)



Computed energies relative to the best structure, in meV/atom: (1) 0; (2) 174



(1)
Material: Pr4Sm5Mg2
Method: DFT, PBE-GGA
State: relaxed

Geometry as POSCAR:
```
Pr4Sm5Mg2
1.0
-2.149 2.679 -0.749
-7.029 -5.227 1.476
0.685 3.646 11.080
Pr Sm Mg
4 5 2
Cartesian
-5.735 -0.407 6.753 Pr
-1.506 3.796 9.652 Pr
-2.759 1.505 5.054 Pr
-6.988 -2.698 2.155 Pr
-3.812 -1.915 4.089 Sm
-1.331 -0.460 2.173 Sm
-3.515 -2.614 0.738 Sm
-5.014 -1.120 10.383 Sm
-2.533 0.334 8.466 Sm
0.065 2.029 7.071 Mg
-6.410 -3.609 5.485 Mg
```

* space-group type: P2/m (10)



(2)
Material: Pr4Sm5Mg2
Method: DFT, PBE-GGA
State: relaxed

Geometry as POSCAR:
```
Pr4Sm5Mg2
1.0
3.521 0.000 -0.705
-0.872 7.700 -4.355
0.995 -1.359 14.115
Pr Sm Mg
4 5 2
Cartesian
2.408 4.051 2.883 Pr
3.628 3.222 8.977 Pr
1.236 2.290 6.172 Pr
0.016 3.119 0.078 Pr
0.230 6.415 1.148 Sm
3.414 -0.074 7.907 Sm
0.572 0.836 2.858 Sm
1.760 0.000 -0.352 Sm
3.072 5.505 6.197 Sm
1.426 5.552 -2.022 Mg
2.218 0.789 11.077 Mg
```

* space-group type: C2/m (12)



Computed energies relative to the best structure, in meV/atom: (1) 12; (2) 0